(1)
Crystalline CaPuSn2 at its relaxed geometry. Source: Alexandria, functional PBE.

Space-group type: P4/mmm
Energy of formation from the pure elements in eV/atom: -0.4931

Cell: 3.429 3.429 9.177 Å, 90.00 90.00 90.00°
Positions (direct):
Ca: 0.000 0.000 0.000
Pu: 0.000 0.000 0.500
Sn: 0.500 0.500 0.253
Sn: 0.500 0.500 0.747

---

(2)
Crystalline SmEr2Bi3 at its relaxed geometry. Source: Alexandria, functional PBE.

Space-group type: Immm
Energy of formation from the pure elements in eV/atom: -0.8463

Cell: 7.767 7.767 7.767 Å, 146.44 131.80 60.01°
Positions (direct):
Sm: 0.000 0.000 0.000
Er: 0.335 0.335 0.000
Er: 0.665 0.665 0.000
Bi: 0.171 0.671 0.500
Bi: 0.500 0.000 0.500
Bi: 0.829 0.329 0.500

---

(3)
Crystalline CdSn2TeAs at its relaxed geometry. Source: Alexandria, functional PBE.

Space-group type: P4/mmm
Formation energy without anion corrections in eV per atom: 0.251

Cell: 5.558 5.558 5.164 Å, 90.00 90.00 90.00°
Positions (direct):
Cd: 0.000 0.000 0.000
Sn: 0.000 0.500 0.500
Sn: 0.500 0.000 0.500
Te: 0.500 0.500 0.000
As: 0.000 0.000 0.500

---

(4)
Crystalline Ca2MnMo at its relaxed geometry. Source: Alexandria, functional PBE.

Space-group type: Cmmm
Energy of formation from the pure elements in eV/atom: 0.8075
Relative energy among the computed polymorphs in eV/atom: 0.4405

Cell: 3.013 3.013 9.880 Å, 90.00 90.00 91.04°
Positions (direct):
Ca: 0.000 0.000 0.243
Ca: 0.000 0.000 0.757
Mn: 0.500 0.500 0.500
Mo: 0.500 0.500 0.000

---

(5)
Crystalline CdFeHg2 at its relaxed geometry. Source: Alexandria, functional PBE.

Space-group type: P4/mmm
Energy of formation from the pure elements in eV/atom: 0.3566

Cell: 4.332 4.332 4.146 Å, 90.00 90.00 90.00°
Positions (direct):
Cd: 0.000 0.000 0.000
Fe: 0.500 0.500 0.000
Hg: 0.000 0.500 0.500
Hg: 0.500 0.000 0.500

---

(6)
Crystalline PmYGaPd at its relaxed geometry. Source: Alexandria, functional PBE.

Space-group type: Amm2
Energy of formation from the pure elements in eV/atom: -0.7128
Relative energy among the computed polymorphs in eV/atom: 0.0000

Cell: 4.522 5.890 5.890 Å, 37.94 90.00 90.00°
Positions (direct):
Pm: 0.000 0.000 0.000
Y: 0.500 0.284 0.284
Ga: 0.500 0.569 0.569
Pd: 0.000 0.719 0.719

---

(7)
Crystalline CrN2 at its relaxed geometry. Source: Alexandria, functional PBE.

Space-group type: P2
Formation energy without anion corrections in eV per atom: 0.382

Cell: 4.594 4.597 8.325 Å, 90.00 95.34 90.00°
Positions (direct):
Cr: 0.087 0.000 0.311
Cr: 0.337 0.596 0.820
Cr: 0.663 0.596 0.180
Cr: 0.913 0.000 0.689
N: 0.000 0.893 0.500
N: 0.087 0.334 0.721
N: 0.107 0.847 0.870
N: 0.412 0.824 0.283
N: 0.500 0.457 0.000
N: 0.588 0.824 0.717
N: 0.893 0.847 0.130
N: 0.913 0.334 0.279

---

(8)
Crystalline Ti2PC at its relaxed geometry. Source: Alexandria, functional PBE.

Space-group type: Fm-3m
Energy of formation from the pure elements in eV/atom: 0.0230

Cell: 4.130 4.130 4.130 Å, 60.00 60.00 60.00°
Positions (direct):
Ti: 0.250 0.250 0.250
Ti: 0.750 0.750 0.750
P: 0.000 0.000 0.000
C: 0.500 0.500 0.500

---

(9)
Crystalline PmPuGa2O8 at its relaxed geometry. Source: Alexandria, functional PBE.

Space-group type: C2/m
Formation energy without anion corrections in eV per atom: -2.248

Cell: 4.811 4.811 7.329 Å, 90.51 90.51 80.72°
Positions (direct):
Pm: 0.000 0.000 0.000
Pu: 0.000 0.000 0.500
Ga: 0.497 0.497 0.809
Ga: 0.503 0.503 0.191
O: 0.219 0.779 0.728
O: 0.221 0.781 0.272
O: 0.247 0.247 0.505
O: 0.320 0.320 0.000
O: 0.680 0.680 0.000
O: 0.753 0.753 0.495
O: 0.779 0.219 0.728
O: 0.781 0.221 0.272

---

(10)
Crystalline Er2PuScAs4 at its relaxed geometry. Source: Alexandria, functional PBE.

Space-group type: P2/m
Energy of formation from the pure elements in eV/atom: -1.3344

Cell: 6.990 4.058 7.003 Å, 90.00 109.44 90.00°
Positions (direct):
Er: 0.000 0.000 0.000
Er: 0.500 0.500 0.000
Pu: 0.000 0.500 0.500
Sc: 0.500 0.000 0.500
As: 0.255 0.000 0.746
As: 0.258 0.500 0.258
As: 0.742 0.500 0.742
As: 0.745 0.000 0.254

---

(11)
Crystalline LiCa2ZrTi at its relaxed geometry. Source: Alexandria, functional PBE.

Space-group type: P4/mmm
Energy of formation from the pure elements in eV/atom: 1.4358

Cell: 5.614 5.614 4.907 Å, 90.00 90.00 90.00°
Positions (direct):
Li: 0.000 0.000 0.000
Ca: 0.000 0.500 0.500
Ca: 0.500 0.000 0.500
Zr: 0.000 0.000 0.500
Ti: 0.500 0.500 0.000

---

(12)
Crystalline Mg9Tl2Bi at its relaxed geometry. Source: Alexandria, functional PBE.

Space-group type: P4/mmm
Energy of formation from the pure elements in eV/atom: -0.0530

Cell: 4.556 4.556 13.699 Å, 90.00 90.00 90.00°
Positions (direct):
Mg: 0.000 0.000 0.000
Mg: 0.000 0.000 0.335
Mg: 0.000 0.000 0.665
Mg: 0.000 0.500 0.174
Mg: 0.000 0.500 0.500
Mg: 0.000 0.500 0.826
Mg: 0.500 0.000 0.174
Mg: 0.500 0.000 0.500
Mg: 0.500 0.000 0.826
Tl: 0.500 0.500 0.337
Tl: 0.500 0.500 0.663
Bi: 0.500 0.500 0.000

---

(13)
Crystalline Sm4IrPt at its relaxed geometry. Source: Alexandria, functional PBE.

Space-group type: P2_1/c
Energy of formation from the pure elements in eV/atom: -0.6697

Cell: 7.056 7.039 7.048 Å, 90.00 91.49 90.00°
Positions (direct):
Sm: 0.170 0.174 0.180
Sm: 0.170 0.326 0.680
Sm: 0.323 0.672 0.167
Sm: 0.323 0.828 0.667
Sm: 0.677 0.172 0.333
Sm: 0.677 0.328 0.833
Sm: 0.830 0.674 0.320
Sm: 0.830 0.826 0.820
Ir: 0.000 0.000 0.500
Ir: 0.000 0.500 0.000
Pt: 0.500 0.000 0.000
Pt: 0.500 0.500 0.500

---

(14)
Crystalline PIN2F at its relaxed geometry. Source: Alexandria, functional PBE.

Space-group type: P4/mmm
Relative energy among the computed polymorphs in eV/atom: 0.2200
Formation energy without anion corrections in eV per atom: 0.890

Cell: 3.906 3.906 3.892 Å, 90.00 90.00 90.00°
Positions (direct):
P: 0.000 0.000 0.000
I: 0.500 0.500 0.500
N: 0.000 0.500 0.000
N: 0.500 0.000 0.000
F: 0.000 0.000 0.500

---

(15)
Crystalline SmCdPtPb at its relaxed geometry. Source: Alexandria, functional PBE.

Space-group type: F-43m
Energy of formation from the pure elements in eV/atom: -0.4752

Cell: 5.090 5.090 5.090 Å, 60.00 60.00 60.00°
Positions (direct):
Sm: 0.000 0.000 0.000
Cd: 0.750 0.750 0.750
Pt: 0.250 0.250 0.250
Pb: 0.500 0.500 0.500

---

(16)
Crystalline NdScAs2 at its relaxed geometry. Source: Alexandria, functional PBE.

Space-group type: R-3m
Energy of formation from the pure elements in eV/atom: -1.4122
Relative energy among the computed polymorphs in eV/atom: 0.0000

Cell: 7.037 7.037 7.037 Å, 33.81 33.81 33.81°
Positions (direct):
Nd: 0.000 0.000 0.000
Sc: 0.500 0.500 0.500
As: 0.242 0.242 0.242
As: 0.758 0.758 0.758

---

(17)
Crystalline BaZrFe2 at its relaxed geometry. Source: Alexandria, functional PBE.

Space-group type: Cm
Energy of formation from the pure elements in eV/atom: 0.2883
Relative energy among the computed polymorphs in eV/atom: 0.0000

Cell: 3.964 3.964 7.579 Å, 105.07 105.07 59.95°
Positions (direct):
Ba: 0.000 0.000 0.000
Zr: 0.177 0.177 0.536
Fe: 0.445 0.445 0.338
Fe: 0.779 0.779 0.339

---

(18)
Crystalline Zr3Fe3C at its relaxed geometry. Source: Alexandria, functional PBE.

Space-group type: Fd-3m
Energy of formation from the pure elements in eV/atom: -0.3367

Cell: 8.455 8.455 8.455 Å, 60.00 60.00 60.00°
Positions (direct):
Zr: 0.073 0.073 0.677
Zr: 0.073 0.677 0.073
Zr: 0.073 0.677 0.677
Zr: 0.323 0.323 0.927
Zr: 0.323 0.927 0.323
Zr: 0.323 0.927 0.927
Zr: 0.677 0.073 0.073
Zr: 0.677 0.073 0.677
Zr: 0.677 0.677 0.073
Zr: 0.927 0.323 0.323
Zr: 0.927 0.323 0.927
Zr: 0.927 0.927 0.323
Fe: 0.000 0.500 0.500
Fe: 0.300 0.300 0.300
Fe: 0.300 0.300 0.601
Fe: 0.300 0.601 0.300
Fe: 0.399 0.700 0.700
Fe: 0.500 0.000 0.500
Fe: 0.500 0.500 0.000
Fe: 0.500 0.500 0.500
Fe: 0.601 0.300 0.300
Fe: 0.700 0.399 0.700
Fe: 0.700 0.700 0.399
Fe: 0.700 0.700 0.700
C: 0.000 0.000 0.000
C: 0.000 0.000 0.500
C: 0.000 0.500 0.000
C: 0.500 0.000 0.000

---

(19)
Crystalline Tl3HgAu8 at its relaxed geometry. Source: Alexandria, functional PBE.

Space-group type: R3m
Energy of formation from the pure elements in eV/atom: 0.0103

Cell: 9.929 9.929 9.929 Å, 33.26 33.26 33.26°
Positions (direct):
Tl: 0.000 0.000 0.000
Tl: 0.126 0.126 0.126
Tl: 0.508 0.508 0.508
Hg: 0.631 0.631 0.631
Au: 0.065 0.565 0.565
Au: 0.066 0.066 0.566
Au: 0.066 0.566 0.066
Au: 0.315 0.315 0.315
Au: 0.565 0.065 0.565
Au: 0.565 0.565 0.065
Au: 0.566 0.066 0.066
Au: 0.816 0.816 0.816

---

(20)
Crystalline SrHgGe at its relaxed geometry. Source: Alexandria, functional PBE.

Space-group type: P1
Energy of formation from the pure elements in eV/atom: -0.3662

Cell: 4.031 4.921 9.418 Å, 104.95 100.63 90.28°
Positions (direct):
Sr: 0.000 0.000 0.000
Sr: 0.219 0.220 0.450
Hg: 0.704 0.593 0.236
Hg: 0.750 0.790 0.586
Ge: 0.454 0.462 0.913
Ge: 0.873 0.367 0.740

---

(21)
Crystalline Nb2ZnPt9 at its relaxed geometry. Source: Alexandria, functional PBE.

Space-group type: P4/mmm
Energy of formation from the pure elements in eV/atom: -0.5821

Cell: 3.995 3.995 11.862 Å, 90.00 90.00 90.00°
Positions (direct):
Nb: 0.000 0.000 0.175
Nb: 0.000 0.000 0.825
Zn: 0.000 0.000 0.500
Pt: 0.000 0.500 0.000
Pt: 0.000 0.500 0.332
Pt: 0.000 0.500 0.668
Pt: 0.500 0.000 0.000
Pt: 0.500 0.000 0.332
Pt: 0.500 0.000 0.668
Pt: 0.500 0.500 0.166
Pt: 0.500 0.500 0.500
Pt: 0.500 0.500 0.834

---

(22)
Crystalline AgB2Pd8 at its relaxed geometry. Source: Alexandria, functional PBE.

Space-group type: C2/m
Energy of formation from the pure elements in eV/atom: -0.0861
Relative energy among the computed polymorphs in eV/atom: 0.0029

Cell: 6.303 6.303 4.321 Å, 97.28 97.28 111.17°
Positions (direct):
Ag: 0.000 0.000 0.000
B: 0.322 0.678 0.500
B: 0.678 0.322 0.500
Pd: 0.064 0.333 0.588
Pd: 0.259 0.741 0.000
Pd: 0.333 0.064 0.588
Pd: 0.392 0.392 0.209
Pd: 0.608 0.608 0.791
Pd: 0.667 0.936 0.412
Pd: 0.741 0.259 0.000
Pd: 0.936 0.667 0.412

---

(23)
Crystalline ThAlRe2C at its relaxed geometry. Source: Alexandria, functional PBE.

Space-group type: Cmcm
Energy of formation from the pure elements in eV/atom: -0.2851

Cell: 5.855 5.855 7.537 Å, 90.00 90.00 138.96°
Positions (direct):
Th: 0.044 0.956 0.750
Th: 0.956 0.044 0.250
Al: 0.236 0.764 0.250
Al: 0.764 0.236 0.750
Re: 0.324 0.676 0.562
Re: 0.324 0.676 0.938
Re: 0.676 0.324 0.062
Re: 0.676 0.324 0.438
C: 0.500 0.500 0.000
C: 0.500 0.500 0.500

---

(24)
Crystalline HoTmZnSi at its relaxed geometry. Source: Alexandria, functional PBE.

Space-group type: Amm2
Relative energy among the computed polymorphs in eV/atom: 0.0000
Formation energy without anion corrections in eV per atom: -0.572

Cell: 4.029 5.731 5.731 Å, 42.30 90.00 90.00°
Positions (direct):
Ho: 0.000 0.000 0.000
Tm: 0.500 0.284 0.284
Zn: 0.500 0.572 0.572
Si: 0.000 0.718 0.718